Material: Nd3Sn13Ir4
Method: DFT, SCAN
State: single point on PBEsol structure

As for the formation enthalpy at 0 K: -0.578 eV/atom. Its energy is -44.684 eV/atom. As for the total magnetic moment: 0.00 μB/cell.

It has space group Pm-3n (No. 223), with a = 9.6729 Å, b = 9.6729 Å, c = 9.6729 Å, α = 90.00°, β = 90.00° and γ = 90.00°. Symmetry generates all atoms from Nd at (0.0000, 0.2500, 0.5000), Sn at (0.0000, 0.0000, 0.0000), Sn at (0.0000, 0.3070, 0.1517) and Ir at (0.2500, 0.2500, 0.2500).